Entry from Alexandria: a geometry-optimized Ac3RuAu structure (PBE). Values from VASP.

Properties
Offset from the most stable computed form in kcal/mol of atoms: 5.14
Magnetic moment in μB/atom: 0.0000
Symmetry: Pm-3m, No. 221
Fermi-level density of states in states/eV/f.u.: 5.857
Energy relative to the elements in kJ/mol of atoms: -16.8
Crystal system: cubic

The structure in Quantum ESPRESSO input format:
```
&SYSTEM
  ibrav = 0, nat = 5, ntyp = 3
/
ATOMIC_SPECIES
Ac 227.00 Ac.upf
Au 196.97 Au.upf
Ru 101.07 Ru.upf
CELL_PARAMETERS angstrom
5.6567 0.0000 0.0000
0.0000 5.6567 0.0000
0.0000 0.0000 5.6567
ATOMIC_POSITIONS crystal
Ac 0.5000 0.0000 0.0000
Ac 0.0000 0.5000 0.0000
Ac 0.0000 0.0000 0.5000
Au 0.5000 0.5000 0.5000
Ru 0.0000 0.0000 0.0000
```